Material: VSiIO2
Method: DFT, GGA+U
State: relaxed

Summary:
Polymorph energy (0 for the lowest one) = 0.0000 eV/atom
SG = P4/mmm (123)
E_tot = -5.307 eV/atom
Theoretical density = 4.99 Mg/m³
Crystal system = tetragonal

a = 3.745 Å, b = 3.745 Å, c = 5.639 Å
α = 90.00°, β = 90.00°, γ = 90.00°
Atoms (fractional coordinates):
V  0.000  0.000  0.000
Si  0.500  0.500  0.500
I  0.500  0.500  0.000
O  0.000  0.500  0.500
O  0.500  0.000  0.500